Compound: SrAl2SiPd4
Source: Alexandria
Functional: PBE
Structure: relaxed

Computed properties:
Formation energy from raw total energies: -0.707 eV per atom

abc: 4.3219 4.3219 27.2640
angles: 90.00 90.00 120.00
Closest atoms and distances in Å follow each position.
Space group R-3m (No. 166, hexagonal axes)
Symmetry-distinct sites (fractional):
Sr: 0.0000 0.0000 0.0000  6 Pd 3.29, 6 Al 3.61
Al: 0.0000 0.0000 0.2379  7 Pd 2.54-2.76
Si: 0.0000 0.0000 0.5000  8 Pd 2.39-2.61
Pd: 0.0000 0.0000 0.1389  3 Si 2.61, 4 Al 2.70-2.76, 3 Pd 2.92
Pd: 0.0000 0.0000 0.4122  1 Si 2.39, 3 Al 2.54

***

Compound: Sr2Al4Si3Pd
Source: Alexandria
Functional: PBE
Structure: relaxed

Computed properties:
Formation energy from raw total energies: -0.384 eV per atom

abc: 4.4232 4.4232 10.4065
angles: 90.00 90.00 90.00
Closest atoms and distances in Å follow each position.
Space group P-4m2 (No. 115)
Symmetry-distinct sites (fractional):
Sr: 0.0000 0.5000 0.2443  2 Pd 3.37, 6 Si 3.37-3.39, 8 Al 3.38-3.46
Al: 0.0000 0.0000 0.5000  4 Si 2.59
Al: 0.0000 0.5000 0.8780  2 Pd 2.55, 3 Si 2.55-2.59
Al: 0.5000 0.5000 0.5000  4 Si 2.59
Si: 0.0000 0.0000 0.0000  4 Al 2.55
Si: 0.0000 0.5000 0.6291  5 Al 2.59
Pd: 0.5000 0.5000 0.0000  4 Al 2.55

***

Compound: Sr2AlSi3Pd4
Source: Alexandria
Functional: PBE
Structure: relaxed

Computed properties:
Formation energy from raw total energies: -0.739 eV per atom

abc: 4.3166 4.3166 10.2697
angles: 90.00 90.00 90.00
Closest atoms and distances in Å follow each position.
Space group P-4m2 (No. 115)
Symmetry-distinct sites (fractional):
Sr: 0.0000 0.5000 0.2486  8 Pd 3.29-3.34, 6 Si 3.32-3.37, 2 Al 3.37
Al: 0.0000 0.0000 0.5000  4 Pd 2.55
Si: 0.0000 0.5000 0.8782  5 Pd 2.49-2.53
Si: 0.5000 0.5000 0.5000  4 Pd 2.55
Pd: 0.0000 0.0000 0.0000  4 Si 2.49
Pd: 0.0000 0.5000 0.6318  3 Si 2.53-2.55, 2 Al 2.55
Pd: 0.5000 0.5000 0.0000  4 Si 2.49

***

Compound: SrAl2SiPd2
Source: Alexandria
Functional: PBE
Structure: relaxed

Computed properties:
Formation energy from raw total energies: -0.161 eV per atom

abc: 4.7001 4.7001 5.8551
angles: 90.00 90.00 90.00
Closest atoms and distances in Å follow each position.
Space group P4/mmm (No. 123)
Symmetry-distinct sites (fractional):
Sr: 0.0000 0.0000 0.0000  2 Si 2.93
Al: 0.0000 0.5000 0.5000  2 Si 2.35
Si: 0.0000 0.0000 0.5000  4 Al 2.35
Pd: 0.5000 0.5000 0.2576  4 Al 2.75, 2 Pd 2.84-3.02

***

Compound: Sr2AlSiPd6
Source: Alexandria
Functional: PBE
Structure: relaxed

Computed properties:
Formation energy from raw total energies: -0.668 eV per atom

abc: 5.8014 6.5833 6.8274
angles: 72.11 64.94 63.88
Closest atoms and distances in Å follow each position.
Space group P-1 (No. 2)
Symmetry-distinct sites (fractional):
Sr: 0.2396 0.2172 0.3032  11 Pd 3.17-3.48
Al: 0.5000 0.5000 0.5000  6 Pd 2.52-2.54
Si: 0.0000 0.0000 0.0000  6 Pd 2.38-2.43
Pd: 0.2371 0.2553 0.7849  1 Si 2.38, 1 Al 2.54
Pd: 0.2500 0.6321 0.8686  1 Si 2.43, 1 Al 2.52
Pd: 0.2779 0.7453 0.2151  1 Si 2.38, 1 Al 2.53

***

Compound: Tb2AlSi3Pd4
Source: Alexandria
Functional: PBE
Structure: relaxed

Computed properties:
Formation energy from raw total energies: -0.919 eV per atom

abc: 4.1751 4.1751 10.1445
angles: 90.00 90.00 90.00
Closest atoms and distances in Å follow each position.
Space group P-4m2 (No. 115)
Symmetry-distinct sites (fractional):
Tb: 0.0000 0.5000 0.2487  8 Pd 3.18-3.27, 6 Si 3.19-3.29, 2 Al 3.29
Al: 0.0000 0.0000 0.5000  4 Pd 2.49
Si: 0.0000 0.5000 0.8696  5 Pd 2.38-2.47
Si: 0.5000 0.5000 0.5000  4 Pd 2.49
Pd: 0.0000 0.0000 0.0000  4 Si 2.47
Pd: 0.0000 0.5000 0.6346  3 Si 2.38-2.49, 2 Al 2.49
Pd: 0.5000 0.5000 0.0000  4 Si 2.47

***

Compound: Tb3AlSi2Pd9
Source: Alexandria
Functional: PBE
Structure: relaxed

Computed properties:
Formation energy from raw total energies: -0.659 eV per atom

abc: 6.2881 6.2881 8.8999
angles: 90.00 90.00 120.00
Closest atoms and distances in Å follow each position.
Space group P-3m1 (No. 164)
Symmetry-distinct sites (fractional):
Tb: 0.0000 0.0000 0.0000  12 Pd 2.98-3.14
Tb: 0.3333 0.6667 0.7064  9 Pd 3.15-3.18
Al: 0.0000 0.0000 0.5000  6 Pd 2.49
Si: 0.3333 0.6667 0.1749  6 Pd 2.27-2.39
Pd: 0.0000 0.5000 0.0000  2 Si 2.39
Pd: 0.1452 0.2903 0.2840  1 Si 2.27, 1 Al 2.49

***

Compound: AlSiTe2Pd
Source: Alexandria
Functional: PBE
Structure: relaxed

Computed properties:
Formation energy from raw total energies: 0.354 eV per atom

abc: 5.3825 5.3825 4.5641
angles: 90.00 90.00 90.00
Closest atoms and distances in Å follow each position.
Space group P4/mmm (No. 123)
Symmetry-distinct sites (fractional):
Al: 0.0000 0.0000 0.0000  8 Te 3.53, 4 Pd 3.81
Si: 0.5000 0.5000 0.5000  2 Pd 2.28
Te: 0.0000 0.5000 0.5000  2 Si 2.69
Pd: 0.5000 0.5000 0.0000  2 Si 2.28

***

Compound: Th3AlSi6Pd2
Source: Alexandria
Functional: PBE
Structure: relaxed

Computed properties:
Formation energy from raw total energies: -0.413 eV per atom

abc: 5.9108 5.9108 7.9922
angles: 90.00 90.00 120.00
Closest atoms and distances in Å follow each position.
Space group P-3m1 (No. 164)
Symmetry-distinct sites (fractional):
Th: 0.0000 0.0000 0.0000  6 Si 3.05
Th: 0.3333 0.6667 0.6355  9 Si 3.03-3.11, 1 Pd 3.17
Al: 0.0000 0.0000 0.5000  6 Si 2.60
Si: 0.1938 0.3876 0.2893  2 Si 2.47, 1 Pd 2.51, 1 Al 2.60
Pd: 0.3333 0.6667 0.0316  3 Si 2.51

***

Compound: Th2AlSi4Pd3
Source: Alexandria
Functional: PBE
Structure: relaxed

Computed properties:
Formation energy from raw total energies: -0.819 eV per atom

abc: 4.2331 4.2331 10.1710
angles: 90.00 90.00 90.00
Closest atoms and distances in Å follow each position.
Space group P-4m2 (No. 115)
Symmetry-distinct sites (fractional):
Th: 0.0000 0.5000 0.2444  8 Si 3.22-3.26, 6 Pd 3.24-3.35, 2 Al 3.35
Al: 0.0000 0.0000 0.5000  4 Si 2.55
Si: 0.0000 0.0000 0.0000  4 Pd 2.45
Si: 0.0000 0.5000 0.6397  3 Pd 2.43-2.55, 2 Al 2.55
Si: 0.5000 0.5000 0.0000  4 Pd 2.45
Pd: 0.0000 0.5000 0.8787  5 Si 2.43-2.45
Pd: 0.5000 0.5000 0.5000  4 Si 2.55

***

Compound: Al2TlSiPd
Source: Alexandria
Functional: PBE
Structure: relaxed

Computed properties:
Formation energy from raw total energies: 0.387 eV per atom

abc: 4.7027 4.7027 5.4033
angles: 90.00 90.00 90.00
Closest atoms and distances in Å follow each position.
Space group P4/mmm (No. 123)
Symmetry-distinct sites (fractional):
Al: 0.0000 0.5000 0.0000  2 Pd 2.35
Tl: 0.0000 0.0000 0.5000  2 Pd 2.70
Si: 0.5000 0.5000 0.5000  4 Tl 3.33, 8 Al 3.58
Pd: 0.0000 0.0000 0.0000  4 Al 2.35

***

Compound: Tm2AlSi4Pd3
Source: Alexandria
Functional: PBE
Structure: relaxed

Computed properties:
Formation energy from raw total energies: -0.797 eV per atom

abc: 3.9285 3.9285 11.0453
angles: 90.00 90.00 90.00
Closest atoms and distances in Å follow each position.
Space group P-4m2 (No. 115)
Symmetry-distinct sites (fractional):
Tm: 0.0000 0.5000 0.2450  4 Si 2.99, 6 Pd 3.07-3.34, 2 Al 3.34
Al: 0.5000 0.5000 0.0000  4 Si 2.54, 4 Pd 2.78
Si: 0.0000 0.0000 0.5000  4 Pd 2.48, 4 Si 2.78
Si: 0.0000 0.5000 0.8543  3 Pd 2.39-2.54, 2 Al 2.54
Si: 0.5000 0.5000 0.5000  4 Pd 2.48, 4 Si 2.78
Pd: 0.0000 0.0000 0.0000  4 Si 2.54, 4 Al 2.78
Pd: 0.0000 0.5000 0.6375  5 Si 2.39-2.48